# GGA-PBEsol AsRhAu, optimized geometry
data_AsRhAu
_chemical_formula_sum 'As2 Rh2 Au2'
_symmetry_space_group_name_H-M 'I 4 m m'
_symmetry_Int_Tables_number 107
_symmetry_space_group_name_Hall 'I 4 -2'
_cell_length_a 3.150
_cell_length_b 3.150
_cell_length_c 9.579
_cell_angle_alpha 90.00
_cell_angle_beta 90.00
_cell_angle_gamma 90.00
loop_
_atom_site_label
_atom_site_fract_x
_atom_site_fract_y
_atom_site_fract_z
As1 0.000 0.000 0.000
Rh1 0.000 0.000 0.617
Au1 0.000 0.000 0.308
# Calculated formation energy = -0.082 eV/atom
# M_tot = 0.000 μB/atom
# Density = 13.1 Mg/m³
# Calculated volume = 95.07 Å³ per cell

# GGA-PBEsol AsRhAu2, optimized geometry
data_AsRhAu2
_chemical_formula_sum 'As3 Rh3 Au6'
_symmetry_space_group_name_H-M 'R -3 m'
_symmetry_Int_Tables_number 166
_symmetry_space_group_name_Hall '-R 3 2"'
_cell_length_a 2.8757
_cell_length_b 2.8757
_cell_length_c 27.3300
_cell_angle_alpha 90.00
_cell_angle_beta 90.00
_cell_angle_gamma 120.00
loop_
_atom_site_label
_atom_site_fract_x
_atom_site_fract_y
_atom_site_fract_z
As1 0.0000 0.0000 0.0000
Rh1 0.0000 0.0000 0.5000
Au1 0.0000 0.0000 0.2480
# Calculated formation energy = 0.241 eV/atom
# M_tot = 0.000 μB/atom
# Density = 14.6 Mg/m³
# Calculated volume = 195.73 Å³ per cell

# GGA-PBEsol AsRh2Au, optimized geometry
data_AsRh2Au
_chemical_formula_sum 'As3 Rh6 Au3'
_symmetry_space_group_name_H-M 'R 3 m'
_symmetry_Int_Tables_number 160
_symmetry_space_group_name_Hall 'R 3 -2"'
_cell_length_a 2.8310
_cell_length_b 2.8310
_cell_length_c 26.4874
_cell_angle_alpha 90.00
_cell_angle_beta 90.00
_cell_angle_gamma 120.00
loop_
_atom_site_label
_atom_site_fract_x
_atom_site_fract_y
_atom_site_fract_z
As1 0.0000 0.0000 0.0000
Rh1 0.0000 0.0000 0.4859
Rh2 0.0000 0.0000 0.7388
Au1 0.0000 0.0000 0.2387
# Calculated formation energy = 0.112 eV/atom
# M_tot = 0.094 μB/atom
# Density = 12.9 Mg/m³
# Calculated volume = 183.84 Å³ per cell

# GGA-PBEsol AsRuAu2, optimized geometry
data_AsRuAu2
_chemical_formula_sum 'As1 Ru1 Au2'
_symmetry_space_group_name_H-M 'P m m m'
_symmetry_Int_Tables_number 47
_cell_length_a 3.004
_cell_length_b 4.396
_cell_length_c 4.880
_cell_angle_alpha 90.00
_cell_angle_beta 90.00
_cell_angle_gamma 90.00
loop_
_symmetry_equiv_pos_as_xyz
'x,y,z'
'-x,-y,-z'
'-x,-y,z'
'x,y,-z'
'x,-y,-z'
'-x,y,z'
'-x,y,-z'
'x,-y,z'
loop_
_atom_site_label
_atom_site_fract_x
_atom_site_fract_y
_atom_site_fract_z
As1 0.000 0.000 0.000
Ru1 0.500 0.500 0.000
Au1 0.000 0.500 0.500
Au2 0.500 0.000 0.500
# Calculated formation energy = 0.344 eV/atom
# M_tot = 0.000 μB/atom
# Density = 14.7 Mg/m³
# Calculated volume = 64.44 Å³ per cell